Record 1
A relaxed LaZr2Te crystal. Source: the Alexandria database, functional PBE-GGA.

Results
Uncorrected energy: -6.525 eV per atom

Lattice parameters (Å, degrees): 3.7427 5.3779 5.3786 90.00 93.58 90.00
Space group P2/m (No. 10)
Symmetry-distinct sites (fractional):
La 0.0000 0.0000 0.0000 x1
Zr 0.3406 0.5000 0.7455 x2
Te 0.5000 0.0000 0.5000 x1


Record 2
A relaxed Tb4Er3Co4 crystal. Source: the Alexandria database, functional PBE-GGA.

Results
Uncorrected energy: -5.597 eV per atom

Lattice parameters (Å, degrees): 3.5789 8.7703 15.5322 90.00 90.00 90.00
Space group Immm (No. 71)
Symmetry-distinct sites (fractional):
Tb 0.0000 0.1856 0.1647 x8
Er 0.0000 0.0000 0.3972 x4
Er 0.0000 0.5000 0.5000 x2
Co 0.0000 0.2869 0.0000 x4
Co 0.0000 0.5000 0.2468 x4


Record 3
A relaxed YTa2Ag crystal. Source: the Alexandria database, functional PBE-GGA.

Results
Excess energy over the best structure of this formula in the dataset: 0.71 eV per formula unit

Lattice parameters (Å, degrees): 10.0485 2.9841 5.6745 90.00 98.87 90.00
Space group Cm (No. 8)
Symmetry-distinct sites (fractional):
Y 0.0000 0.0000 0.0000 x2
Ta 0.0193 0.5000 0.4851 x2
Ta 0.2784 0.5000 0.3619 x2
Ag 0.2468 0.0000 0.8053 x2


Record 4
A relaxed LaTb2Pm4 crystal. Source: the Alexandria database, functional PBE-GGA.

Results
Excess energy over the best structure of this formula in the dataset: 0.87 eV per formula unit

Lattice parameters (Å, degrees): 12.0173 12.0181 6.6614 90.00 90.00 90.00
Space group Fmm2 (No. 42)
Symmetry-distinct sites (fractional):
La 0.0000 0.0000 0.0000 x4
Tb 0.2500 0.2500 0.2490 x8
Pm 0.0000 0.1999 0.4366 x8
Pm 0.1996 0.0000 0.5616 x8


Record 5
A relaxed BeAgCl2 crystal. Source: the Alexandria database, functional PBE-GGA.

Results
Excess energy over the best structure of this formula in the dataset: 0.79 eV per formula unit

Lattice parameters (Å, degrees): 2.9958 6.2355 11.1407 90.00 90.00 90.00
Space group Immm (No. 71)
Symmetry-distinct sites (fractional):
Be 0.0000 0.0000 0.0000 x2
Ag 0.0000 0.0000 0.5000 x2
Cl 0.0000 0.5000 0.3678 x4


Record 6
A relaxed K2HfIn crystal. Source: the Alexandria database, functional PBE-GGA.

Results
Uncorrected energy: -2.784 eV per atom

Lattice parameters (Å, degrees): 10.0557 10.0557 6.0563 90.00 90.00 90.00
Space group I-42d (No. 122)
Symmetry-distinct sites (fractional):
K 0.2137 0.7500 0.1250 x8
Hf 0.0000 0.0000 0.5000 x4
In 0.0000 0.0000 0.0000 x4